No. 1
Entry from Alexandria via LeMat-Bulk: a geometry-optimized CsNd2Ho structure (GGA-PBE).

Properties
formation energy from the elements = 0.282 eV per atom

Cell: 3.7164 3.7164 13.5848 Å, 82.14 82.14 60.00°
Fractional coordinates of all 4 atoms:
Cs 0.0000 0.0000 0.0000
Nd 0.0961 0.0961 0.7116
Nd 0.9039 0.9039 0.2884
Ho 0.5000 0.5000 0.5000

***

No. 2
Entry from Alexandria via LeMat-Bulk: a geometry-optimized Cs3Nd2HoO6 structure (GGA-PBE).

Properties
ΔE_f (raw) = -2947 kJ/mol of formula units

Cell: 6.3249 6.3249 7.2426 Å, 98.36 98.36 120.01°
Fractional coordinates of all 12 atoms:
O 0.7339 0.7339 0.1680
O 0.9442 0.6223 0.8327
O 0.0558 0.3777 0.1673
O 0.6223 0.9442 0.8327
O 0.2661 0.2661 0.8320
O 0.3777 0.0558 0.1673
Ho 0.0000 0.0000 0.0000
Nd 0.6667 0.3333 0.0000
Nd 0.3333 0.6667 0.0000
Cs 0.5000 0.5000 0.5000
Cs 0.8341 0.1659 0.5000
Cs 0.1659 0.8341 0.5000

***

No. 3
Entry from Alexandria via LeMat-Bulk: a geometry-optimized Cs4Nd3HoO8 structure (GGA-PBE).

Properties
ΔE_f (raw) = -3909 kJ/mol of formula units

Cell: 7.3326 8.1275 7.3323 Å, 116.81 120.00 90.00°
Fractional coordinates of all 16 atoms:
Nd 0.0000 0.5000 0.5000
Nd 0.5000 0.5000 0.0000
Nd 0.5000 0.5000 0.5000
O 0.2175 0.6676 0.9502
O 0.7327 0.6676 0.9502
O 0.7231 0.6693 0.4462
O 0.2769 0.3307 0.5538
O 0.2673 0.3324 0.0498
O 0.7826 0.3325 0.5652
O 0.7825 0.3324 0.0498
O 0.2174 0.6676 0.4348
Cs 0.5000 0.0000 0.0000
Cs 0.0000 0.0000 0.5000
Cs 0.0000 0.0000 0.0000
Cs 0.5000 0.0000 0.5000
Ho 0.0000 0.5000 0.0000

***

No. 4
Entry from Alexandria via LeMat-Bulk: a geometry-optimized Cs3Nd2HoS6 structure (GGA-PBE).

Properties
ΔE_f (raw) = -2100 kJ/mol of formula units

Cell: 7.2721 7.2721 8.4444 Å, 98.25 98.25 120.00°
Fractional coordinates of all 12 atoms:
Ho 0.0000 0.0000 0.0000
Nd 0.6666 0.3334 0.0000
Nd 0.3334 0.6666 0.0000
S 0.3854 0.0614 0.1843
S 0.0614 0.3854 0.1843
S 0.7377 0.7377 0.1849
S 0.2623 0.2623 0.8151
S 0.9386 0.6146 0.8157
S 0.6146 0.9386 0.8157
Cs 0.1680 0.8320 0.5000
Cs 0.5000 0.5000 0.5000
Cs 0.8320 0.1680 0.5000